A plane-wave DFT calculation with GGA-PBE was carried out for a geometry-optimized DyLuZn structure.

V: 150 Å³ per cell
energy of formation: -210 meV/atom
SG: No. 107

Unit cell a=3.528 b=3.528 c=12.074 alpha=90.00 beta=90.00 gamma=90.00
Fractional coordinates of all 6 atoms:
Dy  0.000  0.000  0.000
Dy  0.500  0.500  0.500
Lu  0.000  0.000  0.289
Lu  0.500  0.500  0.789
Zn  0.000  0.000  0.650
Zn  0.500  0.500  0.150


A plane-wave DFT calculation with GGA-PBE was carried out for a geometry-optimized CsNa2AcBr6 structure.

V: 388 Å³ per cell
total DFT energy (no corrections): -3.555 eV/atom
SG: No. 146

Unit cell a=8.508 b=8.508 c=8.508 alpha=55.29 beta=55.29 gamma=55.29
Fractional coordinates of all 10 atoms:
Cs  0.000  0.000  0.000
Na  0.275  0.275  0.275
Na  0.789  0.789  0.789
Ac  0.472  0.472  0.472
Br  0.056  0.598  0.472
Br  0.188  0.540  0.880
Br  0.472  0.056  0.598
Br  0.540  0.880  0.188
Br  0.598  0.472  0.056
Br  0.880  0.188  0.540


A plane-wave DFT calculation with GGA-PBE was carried out for a geometry-optimized KTcMo structure.

V: 312 Å³ per cell
energy of formation: 3211 meV/atom
SG: No. 216

Unit cell a=6.786 b=6.786 c=6.786 alpha=90.00 beta=90.00 gamma=90.00
Fractional coordinates of all 12 atoms:
K  0.000  0.000  0.000
K  0.000  0.500  0.500
K  0.500  0.000  0.500
K  0.500  0.500  0.000
Tc  0.250  0.250  0.250
Tc  0.250  0.750  0.750
Tc  0.750  0.250  0.750
Tc  0.750  0.750  0.250
Mo  0.250  0.250  0.750
Mo  0.250  0.750  0.250
Mo  0.750  0.250  0.250
Mo  0.750  0.750  0.750


A plane-wave DFT calculation with GGA-PBE was carried out for a geometry-optimized AcZnCd2Pt2 structure.

V: 312 Å³ per cell
energy of formation: -325 meV/atom
SG: No. 139

Unit cell a=5.389 b=5.389 c=10.750 alpha=90.00 beta=90.00 gamma=90.00
Fractional coordinates of all 12 atoms:
Ac  0.000  0.000  0.000
Ac  0.500  0.500  0.500
Zn  0.000  0.000  0.500
Zn  0.500  0.500  0.000
Cd  0.000  0.500  0.250
Cd  0.000  0.500  0.750
Cd  0.500  0.000  0.250
Cd  0.500  0.000  0.750
Pt  0.000  0.000  0.273
Pt  0.000  0.000  0.727
Pt  0.500  0.500  0.227
Pt  0.500  0.500  0.773


A plane-wave DFT calculation with GGA-PBE was carried out for a geometry-optimized InPIr2W structure.

V: 95 Å³ per cell
energy of formation: 1170 meV/atom
SG: No. 123

Unit cell a=4.352 b=4.352 c=4.994 alpha=90.00 beta=90.00 gamma=90.00
Fractional coordinates of all 5 atoms:
In  0.000  0.000  0.000
P  0.000  0.000  0.500
Ir  0.000  0.500  0.500
Ir  0.500  0.000  0.500
W  0.500  0.500  0.000


A plane-wave DFT calculation with GGA-PBE was carried out for a geometry-optimized ScRuRh structure.

V: 48 Å³ per cell
energy of formation: -170 meV/atom
SG: No. 156

Unit cell a=4.413 b=4.413 c=2.823 alpha=90.00 beta=90.00 gamma=120.00
Fractional coordinates of all 3 atoms:
Sc  0.000  0.000  0.000
Ru  0.333  0.667  0.718
Rh  0.667  0.333  0.306